{
  "formula": "I2Br3Cl",
  "functional": "PBE-GGA",
  "state": "optimized geometry",
  "lattice_angstrom": [[12.759, -2.983, 0.000], [12.759, 2.983, 0.000], [-3.015, 0.000, 8.378]],
  "species": ["I", "I", "I", "I", "Br", "Br", "Br", "Br", "Br", "Br", "Cl", "Cl"],
  "frac_coords": [[0.021, 0.021, 0.268], [0.289, 0.289, 0.388], [0.711, 0.711, 0.612], [0.979, 0.979, 0.732], [0.082, 0.082, 0.821], [0.266, 0.266, 0.660], [0.469, 0.469, 0.723], [0.531, 0.531, 0.277], [0.734, 0.734, 0.340], [0.918, 0.918, 0.179], [0.313, 0.313, 0.143], [0.687, 0.687, 0.857]],
  "e_form_raw_ev_per_atom": 0.061,
  "total_energy_ev_per_atom": -1.600
}


{
  "formula": "IBrCl",
  "functional": "PBE-GGA",
  "state": "optimized geometry",
  "lattice_angstrom": [[5.285, 0.000, 0.000], [-1.525, 6.506, 0.000], [-0.043, -3.421, 8.471]],
  "species": ["I", "I", "Br", "Br", "Cl", "Cl"],
  "frac_coords": [[0.049, 0.295, 0.441], [0.951, 0.705, 0.559], [0.327, 0.883, 0.064], [0.673, 0.117, 0.936], [0.173, 0.827, 0.288], [0.827, 0.173, 0.712]],
  "e_form_raw_ev_per_atom": 0.020,
  "total_energy_ev_per_atom": -1.670
}


{
  "formula": "I4BrCl5",
  "functional": "PBE-GGA",
  "state": "optimized geometry",
  "lattice_angstrom": [[5.754, 0.000, 0.000], [1.680, 8.960, 0.000], [0.959, 3.610, 9.421]],
  "species": ["I", "I", "I", "I", "Br", "Cl", "Cl", "Cl", "Cl", "Cl"],
  "frac_coords": [[0.000, 0.000, 0.000], [0.003, 0.099, 0.430], [0.101, 0.741, 0.481], [0.380, 0.693, 0.085], [0.016, 0.034, 0.720], [0.303, 0.581, 0.914], [0.451, 0.823, 0.277], [0.705, 0.236, 0.969], [0.782, 0.674, 0.653], [0.919, 0.387, 0.373]],
  "e_form_raw_ev_per_atom": -0.129,
  "total_energy_ev_per_atom": -1.839
}


{
  "formula": "IBrCl2",
  "functional": "PBE-GGA",
  "state": "optimized geometry",
  "lattice_angstrom": [[1.814, 1.047, 12.589], [-1.814, 1.047, 12.589], [0.000, -2.094, 12.589]],
  "species": ["I", "Br", "Cl", "Cl"],
  "frac_coords": [[0.000, 0.000, 0.000], [0.500, 0.500, 0.500], [0.065, 0.065, 0.065], [0.935, 0.935, 0.935]],
  "e_form_raw_ev_per_atom": 0.187,
  "total_energy_ev_per_atom": -1.542
}


{
  "formula": "I2Br7Cl2",
  "functional": "PBE-GGA",
  "state": "optimized geometry",
  "lattice_angstrom": [[4.353, -8.301, 0.000], [4.353, 8.301, 0.000], [-2.628, 0.000, 7.105]],
  "species": ["I", "I", "Br", "Br", "Br", "Br", "Br", "Br", "Br", "Cl", "Cl"],
  "frac_coords": [[0.240, 0.760, 0.000], [0.760, 0.240, 0.000], [0.000, 0.000, 0.500], [0.053, 0.530, 0.271], [0.412, 0.412, 0.840], [0.470, 0.947, 0.729], [0.530, 0.053, 0.271], [0.588, 0.588, 0.160], [0.947, 0.470, 0.729], [0.255, 0.255, 0.449], [0.745, 0.745, 0.551]],
  "e_form_raw_ev_per_atom": 0.041,
  "total_energy_ev_per_atom": -1.642
}


{
  "formula": "IBr2Cl6",
  "functional": "PBE-GGA",
  "state": "optimized geometry",
  "lattice_angstrom": [[4.612, 0.000, 0.000], [-1.892, 7.851, 0.000], [-1.227, -3.749, 9.397]],
  "species": ["I", "Br", "Br", "Cl", "Cl", "Cl", "Cl", "Cl", "Cl"],
  "frac_coords": [[0.000, 0.000, 0.000], [0.130, 0.140, 0.286], [0.870, 0.860, 0.714], [0.122, 0.781, 0.331], [0.186, 0.539, 0.329], [0.459, 0.231, 0.999], [0.541, 0.769, 0.001], [0.814, 0.461, 0.671], [0.878, 0.219, 0.669]],
  "e_form_raw_ev_per_atom": 0.003,
  "total_energy_ev_per_atom": -1.772
}